First-principles (PBE-GGA) data for LiPBr2 after structural relaxation, as listed in Alexandria via LeMat-Bulk.

Properties
The calculation puts the energy above the most stable polymorph in this dataset at 0.46 eV per formula unit.

Unit cell a=3.714 b=3.714 c=16.669 alpha=90.00 beta=90.00 gamma=90.00
Space group I-4m2 (No. 119)
One atom of each set of equivalent atoms:
1 Li 0.000 0.000 0.000 (multiplicity 2)
2 P 0.000 0.500 0.750 (multiplicity 2)
3 Br 0.000 0.000 0.500 (multiplicity 2)
4 Br 0.000 0.500 0.250 (multiplicity 2)

***

First-principles (PBE-GGA) data for Li3PBr after structural relaxation, as listed in Alexandria via LeMat-Bulk.

Properties
The calculation puts the energy above the most stable polymorph in this dataset at 0.75 eV per formula unit.

Unit cell a=4.704 b=4.704 c=4.704 alpha=90.00 beta=90.00 gamma=90.00
Space group Pm-3m (No. 221)
One atom of each set of equivalent atoms:
1 Li 0.000 0.000 0.500 (multiplicity 3)
2 P 0.500 0.500 0.500 (multiplicity 1)
3 Br 0.000 0.000 0.000 (multiplicity 1)

***

First-principles (PBE-GGA) data for LiPBr2 after structural relaxation, as listed in Alexandria via LeMat-Bulk.

Properties
The calculation puts the energy above the most stable polymorph in this dataset at 0.94 eV per formula unit.

Unit cell a=3.890 b=7.515 c=7.224 alpha=90.00 beta=90.00 gamma=90.00
Space group Cmmm (No. 65)
One atom of each set of equivalent atoms:
1 Li 0.000 0.000 0.000 (multiplicity 2)
2 P 0.000 0.000 0.500 (multiplicity 2)
3 Br 0.000 0.500 0.250 (multiplicity 4)

***

First-principles (PBE-GGA) data for LiPBr3 after structural relaxation, as listed in Alexandria via LeMat-Bulk.

Properties
The calculation puts the energy above the most stable polymorph in this dataset at 1.83 eV per formula unit.

Unit cell a=5.226 b=5.226 c=5.226 alpha=90.00 beta=90.00 gamma=90.00
Space group Pm-3m (No. 221)
One atom of each set of equivalent atoms:
1 Li 0.000 0.000 0.000 (multiplicity 1)
2 P 0.500 0.500 0.500 (multiplicity 1)
3 Br 0.000 0.500 0.500 (multiplicity 3)

***

First-principles (PBE-GGA) data for LiPBr2 after structural relaxation, as listed in Alexandria via LeMat-Bulk.

Properties
The calculation puts the energy above the most stable polymorph in this dataset at 1.22 eV per formula unit.

Unit cell a=4.952 b=4.952 c=3.432 alpha=90.00 beta=90.00 gamma=90.00
Space group P4/mmm (No. 123)
One atom of each set of equivalent atoms:
1 Li 0.000 0.000 0.000 (multiplicity 1)
2 P 0.500 0.500 0.000 (multiplicity 1)
3 Br 0.000 0.500 0.500 (multiplicity 2)

***

First-principles (PBE-GGA) data for Li3PBr after structural relaxation, as listed in Alexandria via LeMat-Bulk.

Properties
The calculation puts the energy above the most stable polymorph in this dataset at 0.00 eV per formula unit.

Unit cell a=4.767 b=4.767 c=4.767 alpha=90.00 beta=90.00 gamma=90.00
Space group Pm-3m (No. 221)
One atom of each set of equivalent atoms:
1 Li 0.000 0.000 0.500 (multiplicity 3)
2 P 0.000 0.000 0.000 (multiplicity 1)
3 Br 0.500 0.500 0.500 (multiplicity 1)

***

First-principles (PBE-GGA) data for LiPBr after structural relaxation, as listed in Alexandria via LeMat-Bulk.

Properties
The calculation puts the energy above the most stable polymorph in this dataset at 1.78 eV per formula unit.

Unit cell a=3.240 b=4.158 c=10.958 alpha=90.00 beta=90.00 gamma=90.00
Space group Imm2 (No. 44)
One atom of each set of equivalent atoms:
1 Li 0.000 0.000 0.000 (multiplicity 2)
2 P 0.000 0.000 0.494 (multiplicity 2)
3 Br 0.000 0.000 0.288 (multiplicity 2)

***

First-principles (PBE-GGA) data for LiPBr after structural relaxation, as listed in Alexandria via LeMat-Bulk.

Properties
The calculation puts the energy above the most stable polymorph in this dataset at 0.14 eV per formula unit.

Unit cell a=3.365 b=6.558 c=7.923 alpha=114.37 beta=102.11 gamma=90.00
Space group P-1 (No. 2)
One atom of each set of equivalent atoms:
1 Li 0.000 0.000 0.000 (multiplicity 1)
2 Li 0.000 0.500 0.000 (multiplicity 1)
3 P 0.202 0.452 0.403 (multiplicity 2)
4 Br 0.428 0.177 0.854 (multiplicity 2)

***

First-principles (PBE-GGA) data for LiPBr after structural relaxation, as listed in Alexandria via LeMat-Bulk.

Properties
The calculation puts the energy above the most stable polymorph in this dataset at 1.75 eV per formula unit.

Unit cell a=10.314 b=3.310 c=4.011 alpha=90.00 beta=94.42 gamma=90.00
Space group Cm (No. 8)
One atom of each set of equivalent atoms:
1 Li 0.000 0.000 0.000 (multiplicity 2)
2 P 0.052 0.500 0.508 (multiplicity 2)
3 Br 0.272 0.500 0.516 (multiplicity 2)

***

First-principles (PBE-GGA) data for LiPBr3 after structural relaxation, as listed in Alexandria via LeMat-Bulk.

Properties
The calculation puts the energy above the most stable polymorph in this dataset at 0.00 eV per formula unit.

Unit cell a=7.736 b=4.904 c=9.388 alpha=90.00 beta=107.62 gamma=90.00
Space group P2_1/m (No. 11)
One atom of each set of equivalent atoms:
1 Li 0.142 0.250 0.062 (multiplicity 2)
2 P 0.496 0.250 0.488 (multiplicity 2)
3 Br 0.191 0.250 0.374 (multiplicity 2)
4 Br 0.200 0.750 0.003 (multiplicity 2)
5 Br 0.392 0.750 0.705 (multiplicity 2)

***

First-principles (PBE-GGA) data for Li2PBr6 after structural relaxation, as listed in Alexandria via LeMat-Bulk.

Unit cell a=6.570 b=7.177 c=12.241 alpha=90.00 beta=118.19 gamma=90.00
Space group P2_1/c (No. 14)
One atom of each set of equivalent atoms:
1 Li 0.129 0.121 0.149 (multiplicity 4)
2 P 0.500 0.000 0.000 (multiplicity 2)
3 Br 0.159 0.054 0.788 (multiplicity 4)
4 Br 0.249 0.687 0.560 (multiplicity 4)
5 Br 0.402 0.215 0.577 (multiplicity 4)

***

First-principles (PBE-GGA) data for LiPBr2 after structural relaxation, as listed in Alexandria via LeMat-Bulk.

Properties
The calculation puts the energy above the most stable polymorph in this dataset at 0.00 eV per formula unit.

Unit cell a=3.6436 b=3.6436 c=24.5276 alpha=90.00 beta=90.00 gamma=120.00
Space group R-3m (No. 166, hexagonal axes)
One atom of each set of equivalent atoms:
1 Li 0.0000 0.0000 0.0000 (multiplicity 3)
2 P 0.0000 0.0000 0.5000 (multiplicity 3)
3 Br 0.0000 0.0000 0.3982 (multiplicity 6)

***

First-principles (PBE-GGA) data for Li2PPtBr after structural relaxation, as listed in Alexandria via LeMat-Bulk.

Unit cell a=5.217 b=5.217 c=4.299 alpha=90.00 beta=90.00 gamma=90.00
Space group P4/mmm (No. 123)
One atom of each set of equivalent atoms:
1 Li 0.000 0.500 0.000 (multiplicity 2)
2 P 0.000 0.000 0.000 (multiplicity 1)
3 Pt 0.000 0.000 0.500 (multiplicity 1)
4 Br 0.500 0.500 0.500 (multiplicity 1)

***

First-principles (PBE-GGA) data for LiP2PtBr after structural relaxation, as listed in Alexandria via LeMat-Bulk.

Unit cell a=4.864 b=4.864 c=4.201 alpha=90.00 beta=90.00 gamma=90.00
Space group P4/mmm (No. 123)
One atom of each set of equivalent atoms:
1 Li 0.000 0.000 0.000 (multiplicity 1)
2 P 0.000 0.500 0.500 (multiplicity 2)
3 Pt 0.500 0.500 0.000 (multiplicity 1)
4 Br 0.000 0.000 0.500 (multiplicity 1)

***

First-principles (PBE-GGA) data for Rb2LiPBr6 after structural relaxation, as listed in Alexandria via LeMat-Bulk.

Unit cell a=10.731 b=10.731 c=10.731 alpha=90.00 beta=90.00 gamma=90.00
Space group Fm-3m (No. 225)
One atom of each set of equivalent atoms:
1 Rb 0.250 0.250 0.250 (multiplicity 8)
2 Li 0.000 0.000 0.000 (multiplicity 4)
3 P 0.000 0.000 0.500 (multiplicity 4)
4 Br 0.000 0.000 0.259 (multiplicity 24)

***

First-principles (PBE-GGA) data for LiPS2Br after structural relaxation, as listed in Alexandria via LeMat-Bulk.

Properties
The calculation puts the energy above the most stable polymorph in this dataset at 0.00 eV per formula unit.

Unit cell a=4.104 b=4.104 c=7.475 alpha=90.00 beta=90.00 gamma=90.00
Space group P4/mmm (No. 123)
One atom of each set of equivalent atoms:
1 Li 0.000 0.000 0.000 (multiplicity 1)
2 P 0.000 0.000 0.500 (multiplicity 1)
3 S 0.000 0.500 0.000 (multiplicity 2)
4 Br 0.500 0.500 0.500 (multiplicity 1)

***

First-principles (PBE-GGA) data for LiPS2Br after structural relaxation, as listed in Alexandria via LeMat-Bulk.

Properties
The calculation puts the energy above the most stable polymorph in this dataset at 0.89 eV per formula unit.

Unit cell a=4.987 b=4.987 c=4.966 alpha=90.00 beta=90.00 gamma=90.00
Space group P4/mmm (No. 123)
One atom of each set of equivalent atoms:
1 Li 0.000 0.000 0.000 (multiplicity 1)
2 P 0.500 0.500 0.000 (multiplicity 1)
3 S 0.000 0.500 0.500 (multiplicity 2)
4 Br 0.500 0.500 0.500 (multiplicity 1)

***

First-principles (PBE-GGA) data for LiPSeBr2 after structural relaxation, as listed in Alexandria via LeMat-Bulk.

Properties
The calculation puts the energy above the most stable polymorph in this dataset at 0.00 eV per formula unit.

Unit cell a=5.357 b=5.357 c=4.734 alpha=90.00 beta=90.00 gamma=90.00
Space group P4/mmm (No. 123)
One atom of each set of equivalent atoms:
1 Li 0.000 0.000 0.000 (multiplicity 1)
2 P 0.500 0.500 0.500 (multiplicity 1)
3 Se 0.500 0.500 0.000 (multiplicity 1)
4 Br 0.000 0.500 0.500 (multiplicity 2)

***

First-principles (PBE-GGA) data for LiPSeBr2 after structural relaxation, as listed in Alexandria via LeMat-Bulk.

Properties
The calculation puts the energy above the most stable polymorph in this dataset at 3.07 eV per formula unit.

Unit cell a=4.750 b=4.750 c=4.988 alpha=90.00 beta=90.00 gamma=90.00
Space group P4/mmm (No. 123)
One atom of each set of equivalent atoms:
1 Li 0.000 0.000 0.000 (multiplicity 1)
2 P 0.500 0.500 0.500 (multiplicity 1)
3 Se 0.000 0.000 0.500 (multiplicity 1)
4 Br 0.000 0.500 0.000 (multiplicity 2)

***

First-principles (PBE-GGA) data for LiP2SeBr after structural relaxation, as listed in Alexandria via LeMat-Bulk.

Unit cell a=4.935 b=4.935 c=5.318 alpha=90.00 beta=90.00 gamma=90.00
Space group P4/mmm (No. 123)
One atom of each set of equivalent atoms:
1 Li 0.000 0.000 0.000 (multiplicity 1)
2 P 0.000 0.500 0.500 (multiplicity 2)
3 Se 0.500 0.500 0.000 (multiplicity 1)
4 Br 0.500 0.500 0.500 (multiplicity 1)

***

| no. | formation energy without anion corrections (meV per atom) | magnetization (μB per formula unit) |
| --- | --- | --- |
| 1 | -249 | 0.00 |
| 2 | -432 | 1.00 |
| 3 | -130 | 0.00 |
| 4 | -357 | 0.00 |
| 5 | -60 | 0.00 |
| 6 | -582 | 1.00 |
| 7 | -215 | 0.00 |
| 8 | -761 | 0.00 |
| 9 | -226 | 0.00 |
| 10 | -723 | 0.00 |
| 11 | -719 | 0.18 |
| 12 | -364 | 0.00 |
| 13 | -492 | 0.00 |
| 14 | 921 | 0.00 |
| 15 | -1083 | 0.00 |
| 16 | 680 | 1.35 |
| 17 | 857 | 1.49 |
| 18 | -225 | 0.00 |
| 19 | 388 | 0.00 |
| 20 | 977 | 0.92 |